(1)
Computed, not measured: an optimized crystal structure of SiRhPb2 at the PBE level of DFT.

Calculated values
D(E_F) (states/eV/f.u.): 2.333
ρ (g/cm3): 10.4
Symmetry: No. 119
ΔE_f (raw) (eV per formula unit): 1.67

Cell lengths 4.5607, 4.5607, 8.3559 Å; angles 90.00, 90.00, 90.00 degrees
Last column: nearest neighbours and their distance in Å.
Fractional positions:
Si  0.0000  0.0000  0.0000  8 Pb 3.09-3.22, 4 Rh 3.09
Si  0.5000  0.5000  0.5000  8 Pb 3.09-3.22, 4 Rh 3.09
Rh  0.0000  0.5000  0.2500  8 Pb 3.09-3.22, 4 Si 3.09
Rh  0.5000  0.0000  0.7500  8 Pb 3.09-3.22, 4 Si 3.09
Pb  0.0000  0.0000  0.5000  4 Pb 3.09, 4 Rh 3.09, 4 Si 3.22
Pb  0.0000  0.5000  0.7500  4 Pb 3.09, 4 Si 3.09, 4 Rh 3.22
Pb  0.5000  0.0000  0.2500  4 Pb 3.09, 4 Si 3.09, 4 Rh 3.22
Pb  0.5000  0.5000  0.0000  4 Pb 3.09, 4 Rh 3.09, 4 Si 3.22

***

(2)
Computed, not measured: an optimized crystal structure of SiRhPb2 at the PBE level of DFT.

Calculated values
D(E_F) (states/eV/f.u.): 1.583
ρ (g/cm3): 10.1
Symmetry: No. 99
ΔE_f (raw) (eV per formula unit): -0.59

Cell lengths 3.2696, 3.2696, 8.3863 Å; angles 90.00, 90.00, 90.00 degrees
Last column: nearest neighbours and their distance in Å.
Fractional positions:
Si  0.0000  0.0000  0.0000  4 Rh 2.47
Rh  0.5000  0.5000  0.8965  4 Si 2.47
Pb  0.0000  0.0000  0.6356  1 Si 3.06, 4 Rh 3.18, 4 Pb 3.27
Pb  0.5000  0.5000  0.2571  1 Rh 3.02, 4 Si 3.16, 4 Pb 3.27

***

(3)
Computed, not measured: an optimized crystal structure of SiRhPb2 at the PBE level of DFT.

Calculated values
D(E_F) (states/eV/f.u.): 1.035
ρ (g/cm3): 9.2
Symmetry: No. 8
ΔE_f (raw) (eV per formula unit): -1.03

Cell lengths 7.0622, 4.0768, 7.2506 Å; angles 90.00, 108.64, 90.00 degrees
Last column: nearest neighbours and their distance in Å.
Fractional positions:
Si  0.0000  0.0000  0.0000  3 Rh 2.35
Si  0.5000  0.5000  0.0000  3 Rh 2.35
Rh  0.1665  0.5000  0.9991  3 Si 2.35
Rh  0.6665  0.0000  0.9991  3 Si 2.35
Pb  0.2403  0.0000  0.7160  3 Rh 3.05, 3 Si 3.06
Pb  0.4264  0.0000  0.2833  3 Si 3.05, 3 Rh 3.06
Pb  0.7403  0.5000  0.7160  3 Rh 3.05, 3 Si 3.06
Pb  0.9264  0.5000  0.2833  3 Si 3.05, 3 Rh 3.06

***

(4)
Computed, not measured: an optimized crystal structure of SiRhPb2 at the PBE level of DFT.

Calculated values
D(E_F) (states/eV/f.u.): 1.945
ρ (g/cm3): 9.2
Symmetry: No. 44
ΔE_f (raw) (eV per formula unit): 0.13

Cell lengths 3.6913, 4.0806, 13.0202 Å; angles 90.00, 90.00, 90.00 degrees
Last column: nearest neighbours and their distance in Å.
Fractional positions:
Si  0.0000  0.0000  0.0000  2 Rh 2.30
Si  0.5000  0.5000  0.5000  2 Rh 2.30
Rh  0.0000  0.5000  0.3950  2 Si 2.30
Rh  0.5000  0.0000  0.8950  2 Si 2.30
Pb  0.0000  0.0000  0.5850  4 Si 2.97, 2 Rh 3.21
Pb  0.0000  0.5000  0.8079  4 Rh 2.98, 2 Si 3.23
Pb  0.5000  0.0000  0.3079  4 Rh 2.98, 2 Si 3.23
Pb  0.5000  0.5000  0.0850  4 Si 2.97, 2 Rh 3.21

***

Question: Among the records above, which one has the highest ρ?
Answer: number 1